DFT (PBE) results for a geometry-optimized K2SrI2 structure.

Computed properties:
* density of states at the Fermi level: 0.0000 states/eV per atom
* space-group type: P4/mbm
* DFT total energy: -2.37 eV per atom
* energy relative to the elements, uncorrected: -975 meV/atom

Cell: 9.6051 9.6051 4.9544 Å, 90.00 90.00 90.00°
Closest atoms and distances in Å follow each position.
Atoms (fractional coordinates):
K 0.1532 0.3468 0.0000  6 I 3.59-3.86
K 0.3468 0.8468 0.0000  6 I 3.59-3.86
K 0.6532 0.1532 0.0000  6 I 3.59-3.86
K 0.8468 0.6532 0.0000  6 I 3.59-3.86
Sr 0.0000 0.0000 0.5000  4 I 3.63
Sr 0.5000 0.5000 0.5000  4 I 3.63
I 0.1553 0.6553 0.5000  6 K 3.59-3.86, 2 Sr 3.63
I 0.3447 0.1553 0.5000  6 K 3.59-3.86, 2 Sr 3.63
I 0.6553 0.8447 0.5000  6 K 3.59-3.86, 2 Sr 3.63
I 0.8447 0.3447 0.5000  6 K 3.59-3.86, 2 Sr 3.63